No. 1
! PBE Zn2SnO, relaxed; values from VASP
&SYSTEM
  ibrav = 0, nat = 4, ntyp = 3
/
ATOMIC_SPECIES
Zn 65.41 Zn.upf
O 16.00 O.upf
Sn 118.71 Sn.upf
ATOMIC_POSITIONS crystal
Zn 0.2500 0.2500 0.2500
Zn 0.7500 0.7500 0.7500
O 0.0000 0.0000 0.0000
Sn 0.5000 0.5000 0.5000
CELL_PARAMETERS angstrom
0.0000 3.2358 3.2358
3.2358 0.0000 3.2358
3.2358 3.2358 0.0000
! electronic total energy = -2.576 eV/atom
! excess energy over the best structure of this formula in the dataset = 757.0 meV/atom

No. 2
! PBE ZnSnO4, relaxed; values from VASP
&SYSTEM
  ibrav = 0, nat = 12, ntyp = 3
/
ATOMIC_SPECIES
O 16.00 O.upf
Zn 65.41 Zn.upf
Sn 118.71 Sn.upf
ATOMIC_POSITIONS crystal
O 0.7530 0.1826 0.7500
O 0.3397 0.3397 0.4643
O 0.6603 0.6603 0.9643
O 0.2470 0.8174 0.2500
O 0.1826 0.7530 0.7500
O 0.8174 0.2470 0.2500
O 0.3397 0.3397 0.0357
O 0.6603 0.6603 0.5357
Zn 0.8348 0.8348 0.7500
Zn 0.1652 0.1652 0.2500
Sn 0.5386 0.5386 0.2500
Sn 0.4614 0.4614 0.7500
CELL_PARAMETERS angstrom
-2.3554 1.7081 -4.6984
-4.7345 -2.8292 0.3481
-2.6321 4.7810 3.0577
! electronic total energy = -4.968 eV/atom

No. 3
! PBE Zn3Sn2O7, relaxed; values from VASP
&SYSTEM
  ibrav = 0, nat = 24, ntyp = 3
/
ATOMIC_SPECIES
O 16.00 O.upf
Zn 65.41 Zn.upf
Sn 118.71 Sn.upf
ATOMIC_POSITIONS crystal
O 0.8438 0.9929 0.0721
O 0.2817 0.5533 0.9181
O 0.9265 0.3377 0.3364
O 0.3791 0.3791 0.1476
O 0.0735 0.6623 0.8364
O 0.0071 0.1562 0.5721
O 0.9929 0.8438 0.0721
O 0.1562 0.0071 0.5721
O 0.3377 0.9265 0.3364
O 0.7183 0.4467 0.4181
O 0.4467 0.7183 0.4181
O 0.6623 0.0735 0.8364
O 0.6209 0.6209 0.6476
O 0.5533 0.2817 0.9181
Zn 0.7447 0.7447 0.2716
Zn 0.2553 0.2553 0.7716
Zn 0.5743 0.9826 0.2096
Zn 0.4257 0.0174 0.7096
Zn 0.9826 0.5743 0.2096
Zn 0.0174 0.4257 0.7096
Sn 0.1491 0.3568 0.2442
Sn 0.3568 0.1491 0.2442
Sn 0.8509 0.6432 0.7442
Sn 0.6432 0.8509 0.7442
CELL_PARAMETERS angstrom
-8.1734 4.4267 3.4301
4.2357 -5.6463 -6.9530
-1.1894 -4.4092 2.8560
! electronic total energy = -5.353 eV/atom

No. 4
! PBE Zn2Sn3O8, relaxed; values from VASP
&SYSTEM
  ibrav = 0, nat = 26, ntyp = 3
/
ATOMIC_SPECIES
O 16.00 O.upf
Zn 65.41 Zn.upf
Sn 118.71 Sn.upf
ATOMIC_POSITIONS crystal
O 0.3333 0.6667 0.1268
O 0.8340 0.6681 0.1389
O 0.1660 0.3319 0.6389
O 0.1660 0.8340 0.6389
O 0.0000 0.0000 0.8582
O 0.0325 0.5163 0.3701
O 0.4837 0.5163 0.3701
O 0.3319 0.1660 0.1389
O 0.0000 0.0000 0.3582
O 0.6667 0.3333 0.6268
O 0.9675 0.4837 0.8701
O 0.8340 0.1660 0.1389
O 0.6681 0.8340 0.6389
O 0.4837 0.9675 0.3701
O 0.5163 0.4837 0.8701
O 0.5163 0.0325 0.8701
Zn 0.3333 0.6667 0.9059
Zn 0.3333 0.6667 0.5412
Zn 0.6667 0.3333 0.0412
Zn 0.6667 0.3333 0.4059
Sn 0.1640 0.8360 0.2448
Sn 0.1640 0.3281 0.2448
Sn 0.8360 0.6719 0.7448
Sn 0.8360 0.1640 0.7448
Sn 0.3281 0.1640 0.7448
Sn 0.6719 0.8360 0.2448
CELL_PARAMETERS angstrom
-1.3350 4.9637 -3.7018
-4.6945 -3.4514 2.4845
-0.1216 5.6574 7.6297
! electronic total energy = -5.683 eV/atom
! excess energy over the best structure of this formula in the dataset = 2.6 meV/atom

No. 5
! PBE Zn2SnO4, relaxed; values from VASP
&SYSTEM
  ibrav = 0, nat = 14, ntyp = 3
/
ATOMIC_SPECIES
O 16.00 O.upf
Zn 65.41 Zn.upf
Sn 118.71 Sn.upf
ATOMIC_POSITIONS crystal
O 0.8681 0.8681 0.8681
O 0.8681 0.3957 0.8681
O 0.3819 0.8543 0.3819
O 0.8543 0.3819 0.3819
O 0.3819 0.3819 0.3819
O 0.3957 0.8681 0.8681
O 0.3819 0.3819 0.8543
O 0.8681 0.8681 0.3957
Zn 0.6250 0.6250 0.1250
Zn 0.6250 0.6250 0.6250
Zn 0.1250 0.6250 0.6250
Zn 0.6250 0.1250 0.6250
Sn 0.0000 0.0000 0.0000
Sn 0.2500 0.2500 0.2500
CELL_PARAMETERS angstrom
-5.8080 1.9664 0.9153
-2.7251 3.6728 -4.1858
-4.6073 -2.1966 -3.5192
! electronic total energy = -5.175 eV/atom
! excess energy over the best structure of this formula in the dataset = 109.6 meV/atom

No. 6
! PBE Zn2SnO, relaxed; values from VASP
&SYSTEM
  ibrav = 0, nat = 8, ntyp = 3
/
ATOMIC_SPECIES
Zn 65.41 Zn.upf
Sn 118.71 Sn.upf
O 16.00 O.upf
ATOMIC_POSITIONS crystal
Zn 0.3750 0.4795 0.7500
Zn 0.8750 0.7705 0.7500
Zn 0.2295 0.6250 0.2500
Zn 0.5205 0.1250 0.2500
Sn 0.7500 0.2500 0.5000
Sn 0.0000 0.0000 0.0000
O 0.2500 0.7500 0.5000
O 0.5000 0.5000 0.0000
CELL_PARAMETERS angstrom
-2.8852 4.6495 2.1412
-3.5891 -3.5900 2.9593
-0.5078 0.6383 5.9922
! electronic total energy = -3.333 eV/atom
! excess energy over the best structure of this formula in the dataset = 0.0 meV/atom

No. 7
! PBE Zn2SnO4, relaxed; values from VASP
&SYSTEM
  ibrav = 0, nat = 7, ntyp = 3
/
ATOMIC_SPECIES
O 16.00 O.upf
Sn 118.71 Sn.upf
Zn 65.41 Zn.upf
ATOMIC_POSITIONS crystal
O 0.7624 0.7624 0.2610
O 0.2376 0.7624 0.7390
O 0.7624 0.2376 0.7390
O 0.2376 0.2376 0.2610
Sn 0.0000 0.0000 0.0000
Zn 0.0000 0.5000 0.5000
Zn 0.5000 0.0000 0.5000
CELL_PARAMETERS angstrom
-2.9177 3.5959 0.1042
-1.4598 -1.0608 -4.2660
-3.3938 -2.8076 1.8595
! electronic total energy = -5.108 eV/atom
! excess energy over the best structure of this formula in the dataset = 176.6 meV/atom

No. 8
! PBE ZnSn2O4, relaxed; values from VASP
&SYSTEM
  ibrav = 0, nat = 14, ntyp = 3
/
ATOMIC_SPECIES
O 16.00 O.upf
Sn 118.71 Sn.upf
Zn 65.41 Zn.upf
ATOMIC_POSITIONS crystal
O 0.8239 0.2676 0.5563
O 0.7887 0.7324 0.0563
O 0.2373 0.2499 0.5127
O 0.1761 0.7324 0.4437
O 0.2113 0.2676 0.9437
O 0.2373 0.7246 0.9874
O 0.7627 0.2754 0.0126
O 0.7627 0.7501 0.4874
Sn 0.3945 0.1445 0.2500
Sn 0.6055 0.8555 0.7500
Sn 0.0000 0.5000 0.0000
Sn 0.0000 0.0000 0.5000
Zn 0.0000 0.5000 0.5000
Zn 0.5000 0.5000 0.0000
CELL_PARAMETERS angstrom
2.4962 -2.8716 5.2885
3.8349 5.2588 0.2887
-6.4900 0.5095 0.2562
! electronic total energy = -5.518 eV/atom
! excess energy over the best structure of this formula in the dataset = 24.8 meV/atom

Number 6 is which compound?
Zn2SnO

Which value of electronic total energy does entry 8 give?
-5.518 eV/atom

Which of these has the lowest electronic total energy?
Zn2Sn3O8